# Nd2SmTe, relaxed, DFT PBE
data_Nd2SmTe
_chemical_formula_sum 'Nd6 Sm3 Te3'
_symmetry_space_group_name_H-M 'R -3 m'
_symmetry_Int_Tables_number 166
_symmetry_space_group_name_Hall '-R 3 2"'
_cell_length_a 3.9715
_cell_length_b 3.9715
_cell_length_c 30.5486
_cell_angle_alpha 90.00
_cell_angle_beta 90.00
_cell_angle_gamma 120.00
loop_
_atom_site_label
_atom_site_type_symbol
_atom_site_fract_x
_atom_site_fract_y
_atom_site_fract_z
Nd1 Nd 0.0000 0.0000 0.2383
Sm1 Sm 0.0000 0.0000 0.0000
Te1 Te 0.0000 0.0000 0.5000
# Formation energy from raw total energies, kJ/mol of formula units: -211.2
# Energy relative to the lowest polymorph listed for this composition, eV per atom: 0.037
# Calculated volume, Å³ per cell: 417
# N(E_F), states/eV/f.u.: 4.44
# Final energy, eV/atom: -4.896